# 1
SmZn2Ag8 | PBE | optimized geometry

Cell: 7.865 12.440 4.915 Å, 90.00 116.82 90.00°
Space group C2/m (No. 12)
Asymmetric unit:
Sm1 0.000 0.000 0.000 [2 per cell]
Zn1 0.000 0.312 0.500 [4 per cell]
Ag1 0.000 0.237 0.000 [4 per cell]
Ag2 0.079 0.500 0.809 [4 per cell]
Ag3 0.202 0.122 0.625 [8 per cell]

Summary:
Theoretical density, Mg/m³: 8.9
DFT total energy, eV per atom: -2.7205

---

# 2
SmZn11Ag | PBE | optimized geometry

Cell: 5.326 12.649 6.844 Å, 90.00 112.53 90.00°
Space group C2/m (No. 12)
Asymmetric unit:
Sm1 0.000 0.000 0.000 [2 per cell]
Zn1 0.000 0.500 0.500 [2 per cell]
Zn2 0.102 0.389 0.216 [8 per cell]
Zn3 0.182 0.179 0.352 [8 per cell]
Zn4 0.250 0.250 0.000 [4 per cell]
Ag1 0.000 0.000 0.500 [2 per cell]

Summary:
Theoretical density, Mg/m³: 7.6
DFT total energy, eV per atom: -1.8311

---

# 3
SmZn3Ag2 | PBE | optimized geometry

Cell: 4.5106 4.5106 12.9798 Å, 90.00 90.00 120.00°
Space group P6_3/mmc (No. 194)
Asymmetric unit:
Sm1 0.0000 0.0000 0.2500 [2 per cell]
Zn1 0.0000 0.0000 0.0000 [2 per cell]
Zn2 0.3333 0.6667 0.1311 [4 per cell]
Ag1 0.3333 0.6667 0.5814 [4 per cell]

Summary:
Theoretical density, Mg/m³: 8.2
DFT total energy, eV per atom: -2.5876